No. 1
VASP calculation (GGA-PBE) on a relaxed structure of MgNp.

abc: 6.315 6.315 6.315
angles: 90.00 90.00 90.00
Space group Fm-3m (No. 225)
Asymmetric unit:
Mg: 0.000 0.000 0.000
Np: 0.000 0.000 0.500

Properties
Total moment: 22.4 μB/cell
Final energy: -46.9 eV/cell

No. 2
VASP calculation (GGA-PBE) on a relaxed structure of MgNp.

abc: 7.142 7.142 7.142
angles: 90.00 90.00 90.00
Space group F-43m (No. 216)
Asymmetric unit:
Mg: 0.000 0.000 0.000
Np: 0.250 0.250 0.750

Properties
Total moment: 21.2 μB/cell
Final energy: -40.2 eV/cell

No. 3
VASP calculation (GGA-PBE) on a relaxed structure of MgNp.

abc: 6.4866 6.4866 5.1350
angles: 90.00 90.00 120.00
Space group P-6m2 (No. 187)
Asymmetric unit:
Mg: 0.0000 0.0000 0.0000
Mg: 0.1660 0.3320 0.5000
Np: 0.5169 0.0338 0.0000
Np: 0.6667 0.3333 0.5000

Properties
Total moment: 17.0 μB/cell
Final energy: -54.0 eV/cell

No. 4
VASP calculation (GGA-PBE) on a relaxed structure of MgNp.

abc: 2.9171 2.9171 5.7930
angles: 90.00 90.00 120.00
Space group P-6m2 (No. 187)
Asymmetric unit:
Mg: 0.0000 0.0000 0.0000
Np: 0.3333 0.6667 0.5000

Properties
Total moment: 3.2 μB/cell
Final energy: -13.9 eV/cell

No. 5
VASP calculation (GGA-PBE) on a relaxed structure of MgNp.

abc: 5.539 4.866 7.011
angles: 90.00 90.00 90.00
Space group Pnma (No. 62)
Asymmetric unit:
Mg: 0.041 0.250 0.123
Np: 0.039 0.250 0.594

Properties
Total moment: 18.9 μB/cell
Final energy: -53.6 eV/cell

No. 6
VASP calculation (GGA-PBE) on a relaxed structure of MgNp.

abc: 4.682 7.892 4.807
angles: 90.00 90.00 90.00
Space group Pmm2 (No. 25)
Asymmetric unit:
Mg: 0.000 0.000 0.000
Mg: 0.000 0.230 0.497
Mg: 0.500 0.000 0.523
Np: 0.000 0.500 0.975
Np: 0.500 0.306 0.029
Np: 0.500 0.500 0.440

Properties
Total moment: 10.6 μB/cell
Final energy: -54.4 eV/cell

No. 7
VASP calculation (GGA-PBE) on a relaxed structure of MgNp.

abc: 5.0028 5.0028 8.2165
angles: 90.00 90.00 120.00
Space group P6_3mc (No. 186)
Asymmetric unit:
Mg: 0.3333 0.6667 0.0000
Np: 0.3333 0.6667 0.3744

Properties
Total moment: 10.6 μB/cell
Final energy: -20.3 eV/cell

No. 8
VASP calculation (GGA-PBE) on a relaxed structure of MgNp.

abc: 6.913 5.137 4.814
angles: 90.00 90.00 90.00
Space group Pbcm (No. 57)
Asymmetric unit:
Mg: 0.118 0.079 0.250
Np: 0.427 0.622 0.250

Properties
Total moment: 9.5 μB/cell
Final energy: -55.4 eV/cell

No. 9
VASP calculation (GGA-PBE) on a relaxed structure of MgNp.

abc: 6.784 4.698 16.306
angles: 90.00 90.06 90.00
Space group P2_1/m (No. 11)
Asymmetric unit:
Mg: 0.010 0.250 0.112
Mg: 0.010 0.750 0.388
Mg: 0.196 0.250 0.300
Mg: 0.197 0.750 0.200
Mg: 0.442 0.250 0.146
Mg: 0.442 0.750 0.354
Np: 0.276 0.250 0.807
Np: 0.276 0.750 0.693
Np: 0.323 0.250 0.958
Np: 0.323 0.750 0.542
Np: 0.324 0.250 0.486
Np: 0.325 0.750 0.014

Properties
Total moment: 8.8 μB/cell
Final energy: -165.9 eV/cell

No. 10
VASP calculation (GGA-PBE) on a relaxed structure of MgNp.

abc: 4.587 2.711 6.325
angles: 90.00 90.00 90.00
Space group Pmma (No. 51)
Asymmetric unit:
Mg: 0.250 0.000 0.121
Np: 0.250 0.500 0.579

Properties
Total moment: 0.2 μB/cell
Final energy: -27.6 eV/cell

No. 11
VASP calculation (GGA-PBE) on a relaxed structure of Mg2Np3.

abc: 7.3963 7.3963 16.1561
angles: 90.00 90.00 120.00
Space group R-3c (No. 167, hexagonal axes)
Asymmetric unit:
Mg: 0.0000 0.0000 0.0819
Np: 0.0000 0.1901 0.2500

Properties
Total moment: 36.8 μB/cell
Final energy: -222.0 eV/cell

No. 12
VASP calculation (GGA-PBE) on a relaxed structure of MgNp.

abc: 2.822 4.717 12.227
angles: 90.00 90.00 90.00
Space group Pmmn (No. 59, origin choice 2)
Asymmetric unit:
Mg: 0.250 0.250 0.056
Mg: 0.250 0.750 0.190
Np: 0.250 0.250 0.575
Np: 0.250 0.750 0.661

Properties
Total moment: 1.6 μB/cell
Final energy: -55.9 eV/cell

No. 13
VASP calculation (GGA-PBE) on a relaxed structure of MgNp.

abc: 5.132 13.375 5.375
angles: 90.00 90.00 90.00
Space group Pmmn (No. 59, origin choice 2)
Asymmetric unit:
Mg: 0.250 0.001 0.176
Mg: 0.250 0.605 0.672
Np: 0.250 0.162 0.692
Np: 0.250 0.250 0.233
Np: 0.250 0.750 0.176

Properties
Total moment: 23.4 μB/cell
Final energy: -108.4 eV/cell

No. 14
VASP calculation (GGA-PBE) on a relaxed structure of MgNp.

abc: 2.931 4.811 6.036
angles: 90.00 90.00 90.00
Space group Pmmn (No. 59, origin choice 2)
Asymmetric unit:
Mg: 0.250 0.250 0.067
Np: 0.250 0.750 0.461

Properties
Total moment: 5.8 μB/cell
Final energy: -27.8 eV/cell

No. 15
VASP calculation (GGA-PBE) on a relaxed structure of MgNpPb.

abc: 7.057 7.057 7.057
angles: 90.00 90.00 90.00
Space group F-43m (No. 216)
Asymmetric unit:
Mg: 0.000 0.000 0.000
Np: 0.250 0.250 0.750
Pb: 0.250 0.250 0.250

Properties
Total moment: 19.5 μB/cell
Final energy: -66.1 eV/cell

No. 16
VASP calculation (GGA-PBE) on a relaxed structure of MgNpPt.

abc: 6.644 6.644 6.644
angles: 90.00 90.00 90.00
Space group F-43m (No. 216)
Asymmetric unit:
Mg: 0.000 0.000 0.000
Np: 0.000 0.000 0.500
Pt: 0.250 0.250 0.250

Properties
Total moment: 17.7 μB/cell
Final energy: -84.7 eV/cell

No. 17
VASP calculation (GGA-PBE) on a relaxed structure of MgNpSc.

abc: 7.128 7.128 7.128
angles: 90.00 90.00 90.00
Space group F-43m (No. 216)
Asymmetric unit:
Mg: 0.000 0.000 0.000
Np: 0.250 0.250 0.750
Sc: 0.250 0.250 0.250

Properties
Offset from the most stable computed form: 0 meV/atom
Total moment: 27.5 μB/cell

No. 18
VASP calculation (GGA-PBE) on a relaxed structure of SmMgNp.

abc: 7.275 7.275 7.275
angles: 90.00 90.00 90.00
Space group F-43m (No. 216)
Asymmetric unit:
Sm: 0.000 0.000 0.000
Mg: 0.250 0.250 0.750
Np: 0.000 0.000 0.500

Properties
Offset from the most stable computed form: 0 meV/atom
Total moment: 25.3 μB/cell

No. 19
VASP calculation (GGA-PBE) on a relaxed structure of MgNpSn.

abc: 6.887 6.887 6.887
angles: 90.00 90.00 90.00
Space group F-43m (No. 216)
Asymmetric unit:
Mg: 0.000 0.000 0.000
Np: 0.250 0.250 0.750
Sn: 0.250 0.250 0.250

Properties
Total moment: 19.2 μB/cell
Final energy: -69.1 eV/cell

No. 20
VASP calculation (GGA-PBE) on a relaxed structure of MgNpTa.

abc: 6.512 6.512 6.512
angles: 90.00 90.00 90.00
Space group F-43m (No. 216)
Asymmetric unit:
Mg: 0.000 0.000 0.000
Np: 0.250 0.250 0.750
Ta: 0.250 0.250 0.250

Properties
Total moment: 17.5 μB/cell
Final energy: -87.5 eV/cell